1.
Entry from Alexandria via LeMat-Bulk: Be2Pt at its PBEsol-relaxed geometry (meta-GGA SCAN).

The structure in extended XYZ format:
```
3
Lattice="2.7179 0.0000 0.0000 0.0000 3.0213 0.0000 -1.3590 -1.5107 3.7754" Properties=species:S:1:pos:R:3 pbc="T T T"
Be 1.3590 1.5107 2.4764
Be 0.0000 0.0000 1.2990
Pt 1.3590 1.5107 0.0000
```

Crystal system: orthorhombic
Density of states at the Fermi level (states/eV/cell): 0.62
Energy relative to the lowest polymorph listed for this composition (meV/atom): 103

=====

2.
Entry from Alexandria via LeMat-Bulk: TcSbTe2Pb at its PBEsol-relaxed geometry (meta-GGA SCAN).

The structure in extended XYZ format:
```
5
Lattice="5.0347 0.0000 0.0000 0.0000 5.2692 0.0000 0.0000 0.0000 5.2692" Properties=species:S:1:pos:R:3 pbc="T T T"
Sb 2.5173 0.0000 0.0000
Te 0.0000 2.6346 0.0000
Te 0.0000 0.0000 2.6346
Tc 0.0000 0.0000 0.0000
Pb 2.5173 2.6346 2.6346
```

Crystal system: tetragonal
Density of states at the Fermi level (states/eV/cell): 5.08
Formation energy without anion corrections (eV/atom): 0.43

=====

3.
Entry from Alexandria via LeMat-Bulk: BaZn3Co at its PBEsol-relaxed geometry (meta-GGA SCAN).

The structure in extended XYZ format:
```
5
Lattice="-2.7541 3.4435 1.5773 -3.7711 -2.3111 -1.5390 -0.3532 -2.1752 4.1321" Properties=species:S:1:pos:R:3 pbc="T T T"
Zn -0.1766 -1.0876 2.0660
Zn -1.3770 1.7217 0.7887
Zn -1.8855 -1.1556 -0.7695
Co 0.0000 0.0000 0.0000
Ba -3.4392 -0.5214 2.0852
```

Crystal system: cubic
Density of states at the Fermi level (states/eV/cell): 2.36
Total energy (eV per atom): -19.54

=====

4.
Entry from Alexandria via LeMat-Bulk: CaAgTe2 at its PBEsol-relaxed geometry (meta-GGA SCAN).

The structure in extended XYZ format:
```
4
Lattice="-3.3827 -1.9282 1.6186 0.4573 -2.7777 3.1393 -1.8799 5.0308 7.5569" Properties=species:S:1:pos:R:3 pbc="T T T"
Te -1.6199 3.1346 5.8413
Te -3.1853 -2.8096 6.4735
Ca -2.4026 0.1625 6.1574
Ag 0.0000 0.0000 0.0000
```

Crystal system: trigonal
Density of states at the Fermi level (states/eV/cell): 3.48
Formation energy without anion corrections (eV/atom): -0.57